# RbU3O9, relaxed, DFT PBE
data_RbU3O9
_chemical_formula_sum 'Rb1 U3 O9'
_cell_length_a 8.081
_cell_length_b 8.081
_cell_length_c 4.190
_cell_angle_alpha 90.00
_cell_angle_beta 90.00
_cell_angle_gamma 120.00
_space_group_name_H-M_alt 'P 1'
_space_group_IT_number 1
_space_group_name_Hall 'P 1'
loop_
_atom_site_label
_atom_site_fract_x
_atom_site_fract_y
_atom_site_fract_z
Rb1 0.000 0.000 0.000
U1 0.000 0.500 0.500
U2 0.500 0.000 0.500
U3 0.500 0.500 0.500
O1 0.000 0.500 0.000
O2 0.207 0.413 0.500
O3 0.207 0.793 0.500
O4 0.413 0.207 0.500
O5 0.500 0.000 0.000
O6 0.500 0.500 0.000
O7 0.587 0.793 0.500
O8 0.793 0.207 0.500
O9 0.793 0.587 0.500
# Space-group type: P6/mmm, No. 191
# DFT total energy in eV per formula unit: -119.15